Computed, not measured: a relaxed LiNiP2O7 crystal at the PBE+U level of DFT.

a b c (Å): 6.482 9.240 10.366
angles (deg): 114.06 86.25 106.71
Site moments in Bohr magnetons follow the coordinates.
Fractional positions:
O1 0.305 0.335 0.827  -0.10
O2 0.250 0.905 0.966  -0.09
O3 0.613 0.646 0.446  -0.08
O4 0.207 0.535 0.460  -0.02
O5 0.981 0.728 0.733  -0.13
O6 0.563 0.077 0.812  -0.16
O7 0.783 0.451 0.544  -0.01
O8 0.996 0.142 0.644  -0.29
O9 0.425 0.920 0.185  -0.09
O10 0.047 0.467 0.720  -0.17
O11 0.686 0.525 0.797  -0.05
O12 0.435 0.702 0.683  -0.04
O13 0.610 0.332 0.041  -0.10
O14 0.069 0.712 0.086  0.00
O15 0.368 0.844 0.542  -0.05
O16 0.036 0.911 0.342  -0.08
O17 0.308 0.440 0.206  -0.17
O18 0.012 0.253 0.297  -0.08
O19 0.377 0.325 0.541  -0.01
O20 0.627 0.135 0.435  -0.06
O21 0.929 0.280 0.905  -0.01
O22 0.957 0.500 0.261  -0.18
O23 0.707 0.668 0.186  -0.10
O24 0.574 0.294 0.310  -0.07
O25 0.399 0.670 0.953  -0.07
O26 0.107 0.053 0.821  -0.14
O27 0.748 0.090 0.024  -0.07
O28 0.857 0.915 0.134  -0.12
P1 0.914 0.807 0.199  0.01
P2 0.879 0.548 0.708  0.02
P3 0.297 0.805 0.043  0.01
P4 0.579 0.299 0.463  0.01
P5 0.701 0.190 0.949  0.02
P6 0.114 0.425 0.298  0.02
P7 0.091 0.200 0.793  0.02
P8 0.420 0.687 0.528  0.01
Ni1 0.711 0.096 0.219  1.71
Ni2 0.634 0.483 0.250  1.63
Ni3 0.371 0.508 0.745  1.71
Ni4 0.288 0.893 0.765  1.73
Li1 0.349 0.930 0.393  0.00
Li2 0.540 0.504 0.982  0.00
Li3 0.952 0.941 0.951  0.00
Li4 0.048 0.159 0.462  0.00

The value obtained for the total magnetic moment is 0.98 μB per formula unit. Its energy above the most stable polymorph in this dataset is 19.0 meV per atom.